First-principles (PBE-GGA) data for crystalline ZnNiPb2 at its relaxed geometry, as listed in Alexandria.

Lattice parameters (Å, degrees): 6.0153 6.0153 6.0153 140.43 140.43 57.20
Sites, in units of the cell vectors:
Ni 0.2500 0.7500 0.5000
Pb 0.0000 0.0000 0.0000
Pb 0.7500 0.2500 0.5000
Zn 0.5000 0.5000 0.0000

Values from the calculation:
As for the space group: No. 119. Its energy of formation from the pure elements is 0.36 eV/atom. The calculation puts the uncorrected energy at -3.260 eV per atom. The value obtained for the magnetic moment is 0.0 μB/f.u.


First-principles (PBE-GGA) data for crystalline ZnNiPb2 at its relaxed geometry, as listed in Alexandria.

Lattice parameters (Å, degrees): 3.2497 3.2497 8.3841 90.00 90.00 90.00
Sites, in units of the cell vectors:
Pb 0.0000 0.0000 0.9220
Pb 0.5000 0.5000 0.3125
Ni 0.5000 0.5000 0.6919
Zn 0.0000 0.0000 0.5736

Values from the calculation:
As for the space group: No. 99. Its energy of formation from the pure elements is 0.07 eV/atom. The calculation puts the uncorrected energy at -3.545 eV per atom. The value obtained for the magnetic moment is 0.0 μB/f.u.


First-principles (PBE-GGA) data for crystalline ZnNiPb2 at its relaxed geometry, as listed in Alexandria.

Lattice parameters (Å, degrees): 6.8601 6.8601 6.8601 35.08 35.08 35.08
Sites, in units of the cell vectors:
Zn 0.4625 0.4625 0.4625
Pb 0.2184 0.2184 0.2184
Pb 0.0330 0.0330 0.0330
Ni 0.7861 0.7861 0.7861

Values from the calculation:
As for the space group: No. 160. Its energy of formation from the pure elements is 0.10 eV/atom. The calculation puts the uncorrected energy at -3.521 eV per atom. The value obtained for the magnetic moment is 0.0 μB/f.u.


First-principles (PBE-GGA) data for crystalline ZnNiPb2 at its relaxed geometry, as listed in Alexandria.

Lattice parameters (Å, degrees): 4.7374 4.7374 9.2508 75.16 75.16 90.00
Sites, in units of the cell vectors:
Ni 0.5000 0.5000 0.0000
Ni 0.2500 0.7500 0.5000
Pb 0.1486 0.6250 0.2500
Pb 0.8750 0.8514 0.7500
Pb 0.6014 0.1250 0.2500
Pb 0.3750 0.3986 0.7500
Zn 0.0000 0.0000 0.0000
Zn 0.7500 0.2500 0.5000

Values from the calculation:
As for the space group: No. 122. Its energy of formation from the pure elements is 0.39 eV/atom. The calculation puts the uncorrected energy at -3.226 eV per atom. The value obtained for the magnetic moment is 0.0 μB/f.u.


First-principles (PBE-GGA) data for crystalline ZnNi3Pb at its relaxed geometry, as listed in Alexandria.

Lattice parameters (Å, degrees): 4.7591 4.7591 4.7591 90.00 90.00 90.00
Sites, in units of the cell vectors:
Ni 0.0000 0.5000 0.0000
Ni 0.0000 0.0000 0.5000
Ni 0.5000 0.0000 0.0000
Pb 0.0000 0.0000 0.0000
Zn 0.5000 0.5000 0.5000

Values from the calculation:
As for the space group: No. 221. Its energy of formation from the pure elements is 1.23 eV/atom. The calculation puts the uncorrected energy at -3.230 eV per atom. The energy relative to the lowest polymorph listed for this composition comes out at 609.3 meV per atom. The value obtained for the magnetic moment is 0.0 μB/f.u.


First-principles (PBE-GGA) data for crystalline ZnNiPb2 at its relaxed geometry, as listed in Alexandria.

Lattice parameters (Å, degrees): 3.6634 6.0450 5.7227 44.04 90.00 90.00
Sites, in units of the cell vectors:
Pb 0.0000 0.0000 0.0000
Pb 0.5000 0.5000 0.0000
Zn 0.5000 0.5000 0.5000
Ni 0.0000 0.0000 0.5000

Values from the calculation:
As for the space group: No. 10. Its energy of formation from the pure elements is 0.30 eV/atom. The calculation puts the uncorrected energy at -3.313 eV per atom. The value obtained for the magnetic moment is 0.0 μB/f.u.


First-principles (PBE-GGA) data for crystalline ZnNiPb2 at its relaxed geometry, as listed in Alexandria.

Lattice parameters (Å, degrees): 7.7062 4.9141 3.5674 88.78 64.16 128.75
Sites, in units of the cell vectors:
Ni 0.5000 0.5000 0.0000
Zn 0.0000 0.5000 0.5000
Pb 0.0000 0.0000 0.0000
Pb 0.5000 0.0000 0.5000

Values from the calculation:
As for the space group: No. 12. Its energy of formation from the pure elements is 0.31 eV/atom. The calculation puts the uncorrected energy at -3.310 eV per atom. The value obtained for the magnetic moment is 0.0 μB/f.u.


First-principles (PBE-GGA) data for crystalline ZnNiPb at its relaxed geometry, as listed in Alexandria.

Lattice parameters (Å, degrees): 6.0483 6.0483 6.0483 149.60 149.60 43.53
Sites, in units of the cell vectors:
Zn 0.6224 0.6224 0.0000
Pb 0.3532 0.3532 0.0000
Ni 0.0244 0.0244 0.0000

Values from the calculation:
As for the space group: No. 107. Its energy of formation from the pure elements is 0.13 eV/atom. The calculation puts the uncorrected energy at -3.455 eV per atom. The energy relative to the lowest polymorph listed for this composition comes out at 63.0 meV per atom. The value obtained for the magnetic moment is 0.0 μB/f.u.


First-principles (PBE-GGA) data for crystalline ZnNiPb2 at its relaxed geometry, as listed in Alexandria.

Lattice parameters (Å, degrees): 6.7948 6.7948 6.7948 152.46 141.79 47.74
Sites, in units of the cell vectors:
Pb 0.0508 0.0508 0.0000
Pb 0.7558 0.2558 0.5000
Zn 0.4260 0.4260 0.0000
Ni 0.2674 0.7674 0.5000

Values from the calculation:
As for the space group: No. 44. Its energy of formation from the pure elements is 0.19 eV/atom. The calculation puts the uncorrected energy at -3.427 eV per atom. The value obtained for the magnetic moment is 0.0 μB/f.u.


First-principles (PBE-GGA) data for crystalline ZnNiPb at its relaxed geometry, as listed in Alexandria.

Lattice parameters (Å, degrees): 4.3248 4.3248 4.3248 60.00 60.00 60.00
Sites, in units of the cell vectors:
Zn 0.5000 0.5000 0.5000
Ni 0.7500 0.7500 0.7500
Pb 0.0000 0.0000 0.0000

Values from the calculation:
As for the space group: No. 216. Its energy of formation from the pure elements is 0.07 eV/atom. The calculation puts the uncorrected energy at -3.518 eV per atom. The energy relative to the lowest polymorph listed for this composition comes out at 0.0 meV per atom. The value obtained for the magnetic moment is 0.0 μB/f.u.


First-principles (PBE-GGA) data for crystalline ZrNiPb2 at its relaxed geometry, as listed in Alexandria.

Lattice parameters (Å, degrees): 5.7769 5.7769 5.7769 137.57 137.57 61.57
Sites, in units of the cell vectors:
Pb 0.0000 0.0000 0.0000
Pb 0.2500 0.7500 0.5000
Ni 0.7500 0.2500 0.5000
Zr 0.5000 0.5000 0.0000

Values from the calculation:
As for the space group: No. 119. Its energy of formation from the pure elements is 0.11 eV/atom. The calculation puts the uncorrected energy at -5.325 eV per atom. The value obtained for the magnetic moment is 0.0 μB/f.u.


First-principles (PBE-GGA) data for crystalline ZrNiPb2 at its relaxed geometry, as listed in Alexandria.

Lattice parameters (Å, degrees): 3.3194 3.3194 7.7641 90.00 90.00 90.00
Sites, in units of the cell vectors:
Ni 0.5000 0.5000 0.7500
Pb 0.0000 0.0000 0.5353
Pb 0.0000 0.0000 0.9647
Zr 0.5000 0.5000 0.2500

Values from the calculation:
As for the space group: No. 123. Its energy of formation from the pure elements is 0.16 eV/atom. The calculation puts the uncorrected energy at -5.281 eV per atom. The value obtained for the magnetic moment is 0.0 μB/f.u.


Look up the magnetic moment of the fifth one.
0.0 μB/f.u.


What is the energy of formation from the pure elements in the fourth record?
0.39 eV/atom


Look up the magnetic moment of the third one.
0.0 μB/f.u.